First-principles (GGA-PBE) data for a relaxed structure of Pd2Rh2W, as listed in the Alexandria database.

Properties
**Total moment**: 0.00 μB per cell
**DFT total energy**: -7.687 eV/atom
**V**: 74 Å³/cell
**Formation energy**: -0.079 eV/atom
**Crystal system**: monoclinic

Unit cell a=3.873 b=4.746 c=4.831 alpha=81.44 beta=66.30 gamma=65.94
Atoms (fractional coordinates):
Rh: 0.793 0.103 0.812
Rh: 0.207 0.897 0.188
W: 0.000 0.500 0.000
Pd: 0.398 0.303 0.400
Pd: 0.602 0.697 0.600

=====

First-principles (GGA-PBE) data for a relaxed structure of La4PrNd2Sm, as listed in the Alexandria database.

Properties
**Total moment**: 0.00 μB per cell
**DFT total energy**: -4.831 eV/atom
**V**: 288 Å³/cell
**Formation energy**: 0.012 eV/atom
**Crystal system**: monoclinic

Unit cell a=3.715 b=6.426 c=12.255 alpha=79.82 beta=90.00 gamma=90.00
Atoms (fractional coordinates):
Nd: 0.000 0.000 0.000
Nd: 0.500 0.000 0.500
La: 0.500 0.751 0.251
La: 0.000 0.251 0.251
La: 0.500 0.249 0.749
La: 0.000 0.749 0.749
Sm: 0.000 0.500 0.500
Pr: 0.500 0.500 0.000

=====

Question: The highest DFT total energy belongs to which entry?
Answer: La4PrNd2Sm